AcNd5Sm3: optimized geometry, PBE.

Cell and atoms, written as CIF:
```
data_AcNd5Sm3
_chemical_formula_sum 'Ac2 Nd10 Sm6'
_cell_length_a 8.682
_cell_length_b 8.682
_cell_length_c 14.109
_cell_angle_alpha 58.20
_cell_angle_beta 58.20
_cell_angle_gamma 84.69
_space_group_name_H-M_alt 'P 1'
_space_group_IT_number 1
loop_
_space_group_symop_operation_xyz
'x,y,z'
loop_
_atom_site_label
_atom_site_type_symbol
_atom_site_fract_x
_atom_site_fract_y
_atom_site_fract_z
Ac1 Ac 0.999 0.999 0.749
Ac2 Ac 0.001 0.001 0.251
Nd1 Nd 0.952 0.446 0.408
Nd2 Nd 0.256 0.744 0.000
Nd3 Nd 0.654 0.654 0.087
Nd4 Nd 0.344 0.344 0.418
Nd5 Nd 0.656 0.656 0.582
Nd6 Nd 0.346 0.346 0.913
Nd7 Nd 0.446 0.952 0.408
Nd8 Nd 0.744 0.256 0.000
Nd9 Nd 0.048 0.554 0.592
Nd10 Nd 0.554 0.048 0.592
Sm1 Sm 0.667 0.667 0.830
Sm2 Sm 0.663 0.663 0.321
Sm3 Sm 0.000 0.000 0.000
Sm4 Sm 0.000 0.000 0.500
Sm5 Sm 0.333 0.333 0.170
Sm6 Sm 0.337 0.337 0.679
```

Summary:
The crystal system is monoclinic. Its polymorph energy (0 for the lowest one) is 319 meV/atom. For the formation energy, the calculation gives 0.4907 eV per atom. Its total energy is -37.7 eV per formula unit. As for the space group: C2/m, No. 12. For the volume, the calculation gives 742.4 Å³ per cell. The magnetization comes out at 0.00 μB per formula unit.